(1)
A plane-wave DFT calculation with PBE was carried out for crystalline Pr6Y3Ho2Tm at its relaxed geometry.

Computed properties:
Energy of formation from the pure elements in eV per atom: 0.01

Cell lengths 6.3103, 10.9262, 11.8799 Å; angles 90.00, 100.16, 90.00 degrees
Last column: nearest neighbours and their distance in Å.
Space group C2/m (No. 12)
Symmetry-distinct sites (fractional):
Pr1 0.2494 0.1665 0.2481 x8  2 Ho 3.58, 1 Tm 3.58, 3 Y 3.62, 6 Pr 3.64
Pr2 0.2503 0.0000 0.7519 x4  1 Tm 3.58, 2 Ho 3.58, 3 Y 3.62, 6 Pr 3.64
Y1 0.0000 0.1666 0.5000 x4  6 Pr 3.62, 6 Y 3.64
Y2 0.0000 0.5000 0.5000 x2  6 Pr 3.62, 6 Y 3.64
Ho1 0.0000 0.3333 0.0000 x4  6 Pr 3.58, 3 Tm 3.64, 3 Ho 3.64
Tm1 0.0000 0.0000 0.0000 x2  6 Pr 3.58, 6 Ho 3.64

(2)
A plane-wave DFT calculation with PBE was carried out for crystalline BaSb2Te at its relaxed geometry.

Computed properties:
Uncorrected formation energy in eV/atom: -0.517

Cell lengths 4.8345, 4.8345, 5.5202 Å; angles 90.00, 90.00, 90.00 degrees
Last column: nearest neighbours and their distance in Å.
Space group P4/mmm (No. 123)
Symmetry-distinct sites (fractional):
Ba1 0.0000 0.0000 0.0000 x1  4 Te 3.42, 8 Sb 3.67
Sb1 0.0000 0.5000 0.5000 x2  4 Sb 3.42, 4 Ba 3.67, 4 Te 3.67
Te1 0.5000 0.5000 0.0000 x1  4 Ba 3.42, 8 Sb 3.67

(3)
A plane-wave DFT calculation with PBE was carried out for crystalline CaPr3Nd4Se8 at its relaxed geometry.

Computed properties:
Uncorrected formation energy in eV/atom: -1.851

Cell lengths 8.4865, 8.4865, 20.7610 Å; angles 90.00, 90.00, 120.00 degrees
Last column: nearest neighbours and their distance in Å.
Space group R-3m (No. 166, hexagonal axes)
Symmetry-distinct sites (fractional):
Ca1 0.0000 0.0000 0.0000 x3  6 Se 2.96
Pr1 0.0000 0.5000 0.0000 x9  6 Se 3.01
Nd1 0.0000 0.0000 0.5000 x3  6 Se 3.04
Nd2 0.0000 0.5000 0.5000 x9  6 Se 2.99
Se1 0.0000 0.0000 0.2490 x6  3 Nd 2.99, 3 Pr 3.01
Se2 0.0057 0.5029 0.7496 x18  1 Ca 2.96, 3 Nd 2.99-3.04, 2 Pr 3.01

(4)
A plane-wave DFT calculation with PBE was carried out for crystalline Th3Al3Cu2 at its relaxed geometry.

Computed properties:
Energy of formation from the pure elements in eV per atom: -0.32
ΔE to the lowest computed polymorph in eV/f.u.: 0.106

Cell lengths 8.1536, 15.0055, 5.7945 Å; angles 90.00, 90.00, 90.00 degrees
Last column: nearest neighbours and their distance in Å.
Space group Pnma (No. 62)
Symmetry-distinct sites (fractional):
Th1 0.0373 0.1142 0.1154 x8  7 Al 3.09-3.38, 3 Cu 3.10-3.23
Th2 0.1829 0.2500 0.6186 x4  5 Al 3.08-3.22, 4 Cu 3.18-3.21
Al1 0.1687 0.7500 0.6066 x4  2 Cu 2.62
Al2 0.1829 0.0355 0.6083 x8  3 Cu 2.55-2.56
Cu1 0.1043 0.6034 0.3794 x8  4 Al 2.55-2.62

(5)
A plane-wave DFT calculation with PBE was carried out for crystalline Pu2ThPaSe4 at its relaxed geometry.

Computed properties:
Uncorrected formation energy in eV/atom: -1.450

Cell lengths 7.0581, 4.0691, 7.3225 Å; angles 90.00, 108.68, 90.00 degrees
Last column: nearest neighbours and their distance in Å.
Space group P2/m (No. 10)
Symmetry-distinct sites (fractional):
Pu1 0.0000 0.0000 0.0000 x1  6 Se 2.91
Pu2 0.5000 0.5000 0.0000 x1  6 Se 2.87-2.88
Th1 0.0000 0.5000 0.5000 x1  6 Se 2.97
Pa1 0.5000 0.0000 0.5000 x1  6 Se 2.93
Se1 0.2527 0.5000 0.2451 x2  3 Pu 2.88-2.91, 2 Pa 2.93, 1 Th 2.97
Se2 0.2572 0.0000 0.7584 x2  3 Pu 2.87-2.91, 1 Pa 2.93, 2 Th 2.97

(6)
A plane-wave DFT calculation with PBE was carried out for crystalline Ti4Si at its relaxed geometry.

Computed properties:
Uncorrected formation energy in eV/atom: 0.366
ΔE to the lowest computed polymorph in eV/f.u.: 3.312

Cell lengths 4.6274, 4.6274, 4.6274 Å; angles 90.00, 90.00, 90.00 degrees
Last column: nearest neighbours and their distance in Å.
Space group Pm-3m (No. 221)
Symmetry-distinct sites (fractional):
Ti1 0.0000 0.0000 0.0000 x1  12 Ti 3.27
Ti2 0.0000 0.5000 0.5000 x3  2 Si 2.31
Si1 0.5000 0.5000 0.5000 x1  6 Ti 2.31

(7)
A plane-wave DFT calculation with PBE was carried out for crystalline Sb2SO at its relaxed geometry.

Computed properties:
Uncorrected formation energy in eV/atom: -0.214
ΔE to the lowest computed polymorph in eV/f.u.: 0.000

Cell lengths 4.9797, 4.9797, 14.7296 Å; angles 90.00, 90.00, 90.00 degrees
Last column: nearest neighbours and their distance in Å.
Space group I-42d (No. 122)
Symmetry-distinct sites (fractional):
Sb1 0.1601 0.2500 0.1250 x8  2 O 2.36
S1 0.0000 0.0000 0.5000 x4  4 Sb 2.79
O1 0.0000 0.0000 0.0000 x4  4 Sb 2.36

(8)
A plane-wave DFT calculation with PBE was carried out for crystalline Y2ZnSi at its relaxed geometry.

Computed properties:
Uncorrected formation energy in eV/atom: -0.452

Cell lengths 3.7840, 4.5237, 10.3780 Å; angles 90.00, 90.00, 90.00 degrees
Last column: nearest neighbours and their distance in Å.
Space group Imm2 (No. 44)
Symmetry-distinct sites (fractional):
Y1 0.0000 0.0000 0.0000 x2  4 Si 2.99, 2 Zn 3.20, 2 Y 3.31
Y2 0.0000 0.5000 0.2328 x2  4 Zn 2.99, 2 Si 3.19, 2 Y 3.31
Zn1 0.0000 0.5000 0.7817 x2  2 Si 2.58
Si1 0.0000 0.0000 0.4502 x2  2 Zn 2.58

(9)
A plane-wave DFT calculation with PBE was carried out for crystalline VCrMoCl2 at its relaxed geometry.

Computed properties:
Uncorrected formation energy in eV/atom: 1.164

Cell lengths 4.3784, 4.3784, 4.7986 Å; angles 90.00, 90.00, 90.00 degrees
Last column: nearest neighbours and their distance in Å.
Space group P4/mmm (No. 123)
Symmetry-distinct sites (fractional):
V1 0.0000 0.0000 0.0000 x1  2 Cr 2.40
Cr1 0.0000 0.0000 0.5000 x1  4 Cl 2.19, 2 V 2.40
Mo1 0.5000 0.5000 0.0000 x1  4 V 3.10, 8 Cl 3.25
Cl1 0.0000 0.5000 0.5000 x2  2 Cr 2.19

(10)
A plane-wave DFT calculation with PBE was carried out for crystalline K5ZnCd6 at its relaxed geometry.

Computed properties:
Energy of formation from the pure elements in eV per atom: -0.01

Cell lengths 7.1121, 16.0340, 8.6684 Å; angles 90.00, 111.34, 90.00 degrees
Last column: nearest neighbours and their distance in Å.
Space group C2/m (No. 12)
Symmetry-distinct sites (fractional):
K1 0.0000 0.0000 0.0000 x2  6 Cd 3.58-3.77
K2 0.0000 0.2887 0.0000 x4  6 Cd 3.44-3.72, 2 K 3.77
K3 0.0000 0.3635 0.5000 x4  8 Cd 3.76-3.97, 2 Zn 4.18
Zn1 0.0000 0.0000 0.5000 x2  6 Cd 2.81-3.04
Cd1 0.0658 0.1485 0.6855 x8  1 Zn 2.81, 1 Cd 3.00
Cd2 0.1254 0.5000 0.1851 x4  1 Zn 3.04, 3 Cd 3.05-3.16

(11)
A plane-wave DFT calculation with PBE was carried out for crystalline Ho4PtS5 at its relaxed geometry.

Computed properties:
Uncorrected formation energy in eV/atom: -1.734

Cell lengths 17.0971, 3.9493, 8.1153 Å; angles 90.00, 107.29, 90.00 degrees
Last column: nearest neighbours and their distance in Å.
Space group C2/m (No. 12)
Symmetry-distinct sites (fractional):
Ho1 0.0033 0.0000 0.2685 x4  4 S 2.61-2.74
Ho2 0.1837 0.5000 0.1293 x4  5 S 2.66-2.78
Pt1 0.0000 0.5000 0.0000 x2  6 Ho 2.93-3.00
S1 0.0000 0.5000 0.5000 x2  4 Ho 2.74
S2 0.1607 0.0000 0.8781 x4  4 Ho 2.68-2.78
S3 0.1622 0.0000 0.3304 x4  3 Ho 2.61-2.66

(12)
A plane-wave DFT calculation with PBE was carried out for crystalline PuNbBi2 at its relaxed geometry.

Computed properties:
Energy of formation from the pure elements in eV per atom: -0.02
ΔE to the lowest computed polymorph in eV/f.u.: 0.000

Cell lengths 3.5604, 3.5604, 7.9445 Å; angles 90.00, 90.00, 90.00 degrees
Last column: nearest neighbours and their distance in Å.
Space group P4/mmm (No. 123)
Symmetry-distinct sites (fractional):
Pu1 0.0000 0.0000 0.0000 x1  8 Bi 3.38, 4 Pu 3.56
Nb1 0.0000 0.0000 0.5000 x1  8 Bi 3.05
Bi1 0.5000 0.5000 0.2832 x2  4 Nb 3.05, 4 Pu 3.38

(13)
A plane-wave DFT calculation with PBE was carried out for crystalline BeHgCl at its relaxed geometry.

Computed properties:
Uncorrected formation energy in eV/atom: -0.186
ΔE to the lowest computed polymorph in eV/f.u.: 0.000

Cell lengths 3.2557, 3.2557, 7.3310 Å; angles 90.00, 90.00, 120.00 degrees
Last column: nearest neighbours and their distance in Å.
Space group P3m1 (No. 156)
Symmetry-distinct sites (fractional):
Be1 0.0000 0.0000 0.0000 x1  3 Cl 2.23
Hg1 0.3333 0.6667 0.7495 x1  3 Be 2.63
Cl1 0.6667 0.3333 0.1625 x1  3 Be 2.23

(14)
A plane-wave DFT calculation with PBE was carried out for crystalline CsInGa2Fe at its relaxed geometry.

Computed properties:
Energy of formation from the pure elements in eV per atom: 0.01

Cell lengths 4.8658, 4.8658, 5.1174 Å; angles 90.00, 90.00, 90.00 degrees
Last column: nearest neighbours and their distance in Å.
Space group P4/mmm (No. 123)
Symmetry-distinct sites (fractional):
Cs1 0.0000 0.0000 0.0000 x1  4 In 3.44, 8 Ga 3.53
In1 0.5000 0.5000 0.0000 x1  2 Fe 2.56
Ga1 0.0000 0.5000 0.5000 x2  2 Fe 2.43
Fe1 0.5000 0.5000 0.5000 x1  4 Ga 2.43, 2 In 2.56

(15)
A plane-wave DFT calculation with PBE was carried out for crystalline Ca5Tl2Si2 at its relaxed geometry.

Computed properties:
Uncorrected formation energy in eV/atom: -0.426

Cell lengths 17.2672, 7.7079, 7.6811 Å; angles 90.00, 90.00, 90.00 degrees
Last column: nearest neighbours and their distance in Å.
Space group Cmce (No. 64)
Symmetry-distinct sites (fractional):
Ca1 0.0000 0.0000 0.0000 x4  4 Si 3.10-3.12
Ca2 0.1219 0.1807 0.3210 x16  3 Si 3.09-3.12, 3 Tl 3.30-3.34
Tl1 0.2214 0.0000 0.0000 x8  6 Ca 3.30-3.34
Si1 0.0000 0.1113 0.6121 x8  1 Si 2.43

(16)
A plane-wave DFT calculation with PBE was carried out for crystalline NaLaIn3 at its relaxed geometry.

Computed properties:
Energy of formation from the pure elements in eV per atom: -0.34
ΔE to the lowest computed polymorph in eV/f.u.: 0.000

Cell lengths 3.6926, 30.7827, 5.0169 Å; angles 90.00, 90.00, 90.00 degrees
Last column: nearest neighbours and their distance in Å.
Space group Cmcm (No. 63)
Symmetry-distinct sites (fractional):
Na1 0.0000 0.2174 0.2500 x4  7 In 3.29-3.43
La1 0.0000 0.0720 0.7500 x4  12 In 3.43-3.68, 2 La 3.69
In1 0.0000 0.3244 0.2500 x4  2 In 2.98, 1 Na 3.29
In2 0.0000 0.3765 0.7500 x4  3 In 2.98-3.02
In3 0.0000 0.4746 0.7500 x4  3 In 2.96-3.02

(17)
A plane-wave DFT calculation with PBE was carried out for crystalline CaLa2AlCo at its relaxed geometry.

Computed properties:
Energy of formation from the pure elements in eV per atom: -0.15

Cell lengths 5.4006, 5.4006, 4.8834 Å; angles 90.00, 90.00, 90.00 degrees
Last column: nearest neighbours and their distance in Å.
Space group P4/mmm (No. 123)
Symmetry-distinct sites (fractional):
Ca1 0.0000 0.0000 0.0000 x1  8 La 3.64, 4 Al 3.82
La1 0.0000 0.5000 0.5000 x2  2 Co 2.70
Al1 0.5000 0.5000 0.0000 x1  2 Co 2.44
Co1 0.5000 0.5000 0.5000 x1  2 Al 2.44, 4 La 2.70

(18)
A plane-wave DFT calculation with PBE was carried out for crystalline Ta4Fe3Mo at its relaxed geometry.

Computed properties:
Energy of formation from the pure elements in eV per atom: -0.15

Cell lengths 3.1411, 4.3918, 8.7176 Å; angles 90.00, 90.00, 90.00 degrees
Last column: nearest neighbours and their distance in Å.
Space group Pmmm (No. 47)
Symmetry-distinct sites (fractional):
Ta1 0.0000 0.0000 0.0000 x1  8 Fe 2.64-2.70
Ta2 0.0000 0.0000 0.5000 x1  4 Mo 2.70, 4 Fe 2.74
Ta3 0.0000 0.5000 0.2429 x2  6 Fe 2.64-2.70, 2 Mo 2.74
Fe1 0.5000 0.0000 0.2430 x2  8 Ta 2.64-2.74
Fe2 0.5000 0.5000 0.0000 x1  8 Ta 2.64-2.70
Mo1 0.5000 0.5000 0.5000 x1  8 Ta 2.70-2.74

(19)
A plane-wave DFT calculation with PBE was carried out for crystalline CePmBiAu at its relaxed geometry.

Computed properties:
Energy of formation from the pure elements in eV per atom: -0.63

Cell lengths 7.6744, 7.6744, 7.6744 Å; angles 90.00, 90.00, 90.00 degrees
Last column: nearest neighbours and their distance in Å.
Space group F-43m (No. 216)
Symmetry-distinct sites (fractional):
Ce1 0.0000 0.0000 0.0000 x4  4 Bi 3.32, 4 Au 3.32
Pm1 0.0000 0.0000 0.5000 x4  4 Bi 3.32, 4 Au 3.32
Bi1 0.2500 0.2500 0.2500 x4  4 Ce 3.32, 4 Pm 3.32
Au1 0.2500 0.2500 0.7500 x4  4 Ce 3.32, 4 Pm 3.32

(20)
A plane-wave DFT calculation with PBE was carried out for crystalline TbDy2BiC at its relaxed geometry.

Computed properties:
Energy of formation from the pure elements in eV per atom: -0.53

Cell lengths 4.9222, 4.9222, 4.9590 Å; angles 90.00, 90.00, 90.00 degrees
Last column: nearest neighbours and their distance in Å.
Space group P4/mmm (No. 123)
Symmetry-distinct sites (fractional):
Tb1 0.0000 0.0000 0.0000 x1  2 C 2.48
Dy1 0.0000 0.5000 0.5000 x2  2 C 2.46
Bi1 0.5000 0.5000 0.0000 x1  4 Tb 3.48, 8 Dy 3.49
C1 0.0000 0.0000 0.5000 x1  4 Dy 2.46, 2 Tb 2.48

no.,E_tot (eV per atom)
1,-5.13
2,-3.84
3,-5.81
4,-5.53
5,-8.89
6,-7.03
7,-4.55
8,-5.36
9,-5.49
10,-1.03
11,-6.23
12,-8.06
13,-2.14
14,-3.61
15,-3.27
16,-3.23
17,-4.69
18,-10.60
19,-5.09
20,-5.92